(1)
CaMg2Tl5 | PBE | optimized geometry

## Properties
Distance to the lowest polymorph of the same formula, meV per atom: 32.3
Theoretical density, g cm⁻³: 8.27
VASP energy, eV per cell: -35.314
Calculated formation energy, eV/atom: -0.079

Cell lengths 8.163, 8.163, 8.841 Å; angles 117.50, 117.50, 90.00 degrees
Atoms (fractional coordinates):
Ca: 0.750 0.750 0.500
Ca: 0.250 0.250 0.500
Mg: 0.143 0.357 0.000
Mg: 0.643 0.143 0.000
Mg: 0.357 0.857 0.000
Mg: 0.857 0.643 0.000
Tl: 0.496 0.698 0.694
Tl: 0.802 0.004 0.306
Tl: 0.000 0.000 0.000
Tl: 0.500 0.500 0.000
Tl: 0.198 0.996 0.694
Tl: 0.698 0.198 0.694
Tl: 0.996 0.496 0.694
Tl: 0.302 0.802 0.306
Tl: 0.004 0.504 0.306
Tl: 0.504 0.302 0.306

=====

(2)
CaMg15Tl4 | PBE | optimized geometry

## Properties
Theoretical density, g cm⁻³: 4.22
VASP energy, eV per cell: -35.942
Calculated formation energy, eV/atom: -0.028

Cell lengths 4.736, 4.736, 21.450 Å; angles 90.00, 90.00, 90.00 degrees
Atoms (fractional coordinates):
Ca: 0.000 0.000 0.000
Mg: 0.500 0.500 0.000
Mg: 0.500 0.500 0.207
Mg: 0.500 0.500 0.401
Mg: 0.500 0.500 0.599
Mg: 0.500 0.500 0.793
Mg: 0.500 0.000 0.108
Mg: 0.500 0.000 0.303
Mg: 0.500 0.000 0.500
Mg: 0.500 0.000 0.697
Mg: 0.500 0.000 0.892
Mg: 0.000 0.500 0.108
Mg: 0.000 0.500 0.303
Mg: 0.000 0.500 0.500
Mg: 0.000 0.500 0.697
Mg: 0.000 0.500 0.892
Tl: 0.000 0.000 0.205
Tl: 0.000 0.000 0.402
Tl: 0.000 0.000 0.598
Tl: 0.000 0.000 0.795

=====

(3)
CaMgTl4 | PBE | optimized geometry

## Properties
Distance to the lowest polymorph of the same formula, meV per atom: 150.7
Theoretical density, g cm⁻³: 7.88
VASP energy, eV per cell: -12.992
Calculated formation energy, eV/atom: 0.012

Cell lengths 6.405, 6.405, 6.405 Å; angles 60.00, 60.00, 60.00 degrees
Atoms (fractional coordinates):
Ca: 0.750 0.750 0.750
Mg: 0.000 0.000 0.000
Tl: 0.875 0.375 0.375
Tl: 0.375 0.375 0.875
Tl: 0.375 0.875 0.375
Tl: 0.375 0.375 0.375

=====

(4)
CaMgTl | PBE | optimized geometry

## Properties
Theoretical density, g cm⁻³: 4.69
VASP energy, eV per cell: -6.359
Calculated formation energy, eV/atom: -0.132

Cell lengths 5.125, 5.125, 5.125 Å; angles 60.00, 60.00, 60.00 degrees
Atoms (fractional coordinates):
Ca: 0.000 0.000 0.000
Mg: 0.500 0.500 0.500
Tl: 0.750 0.750 0.750

=====

(5)
Ca8MgTl2 | PBE | optimized geometry

## Properties
Distance to the lowest polymorph of the same formula, meV per atom: 0.0
Theoretical density, g cm⁻³: 3.31
VASP energy, eV per cell: -24.191
Calculated formation energy, eV/atom: -0.168

Cell lengths 5.399, 9.097, 9.344 Å; angles 119.13, 106.79, 90.00 degrees
Atoms (fractional coordinates):
Ca: 0.660 0.871 0.319
Ca: 0.340 0.551 0.681
Ca: 0.142 0.142 0.284
Ca: 0.000 0.316 0.000
Ca: 0.858 0.858 0.716
Ca: 0.660 0.449 0.319
Ca: 0.340 0.129 0.681
Ca: 0.000 0.684 0.000
Mg: 0.500 0.000 0.000
Tl: 0.198 0.698 0.396
Tl: 0.802 0.302 0.604

=====

(6)
CaMg12Tl4 | PBE | optimized geometry

## Properties
Theoretical density, g cm⁻³: 3.81
VASP energy, eV per cell: -26.647
Calculated formation energy, eV/atom: 0.233

Cell lengths 8.667, 8.667, 8.667 Å; angles 109.47, 109.47, 109.47 degrees
Atoms (fractional coordinates):
Ca: 0.000 0.000 0.000
Mg: 0.842 0.345 0.188
Mg: 0.345 0.503 0.158
Mg: 0.812 0.158 0.655
Mg: 0.345 0.188 0.842
Mg: 0.188 0.842 0.345
Mg: 0.655 0.497 0.842
Mg: 0.503 0.158 0.345
Mg: 0.497 0.842 0.655
Mg: 0.655 0.812 0.158
Mg: 0.842 0.655 0.497
Mg: 0.158 0.345 0.503
Mg: 0.158 0.655 0.812
Tl: 0.000 0.500 0.000
Tl: 0.500 0.000 0.000
Tl: 0.500 0.500 0.500
Tl: 0.000 0.000 0.500